[1]
DFT (PBE-GGA) results for crystalline Sm2PuWN5 at its relaxed geometry.

The space group is Cmc2_1 (No. 36) and the conventional cell measures 3.484, 13.852 and 10.496 Å, with angles of 90.00, 90.00 and 90.00 degrees. The asymmetric unit holds Sm at (0.000, 0.107, 0.000), Sm at (0.000, 0.147, 0.609), Pu at (0.000, 0.212, 0.322), W at (0.000, 0.480, 0.766), N at (0.000, 0.043, 0.351), N at (0.000, 0.280, 0.968), N at (0.000, 0.326, 0.693), N at (0.000, 0.379, 0.315) and N at (0.000, 0.488, 0.092).

For the total energy, the calculation gives -352.604 eV per cell. As for the total moment: 4.7 μB/f.u. The calculation puts the density at 10.473 g/cm³. The uncorrected formation energy is -946 kJ/mol of formula units.

=====

[2]
DFT (PBE-GGA) results for crystalline Li2YZn2Ag2 at its relaxed geometry.

The space group is C2/m (No. 12) and the conventional cell measures 7.933, 4.553 and 7.790 Å, with angles of 90.00, 109.91 and 90.00 degrees. The asymmetric unit holds Li at (0.142, 0.000, 0.424), Y at (0.000, 0.000, 0.000), Zn at (0.078, 0.500, 0.738) and Ag at (0.241, 0.500, 0.221).

For the formation enthalpy at 0 K, the calculation gives -1.6 eV/f.u. For the total energy, the calculation gives -40.192 eV per cell. As for the total moment: 0.0 μB/f.u. The calculation puts the density at 5.641 g/cm³.

=====

[3]
DFT (PBE-GGA) results for crystalline NdPuN at its relaxed geometry.

The space group is F-43m (No. 216) and the conventional cell measures 6.156, 6.156 and 6.156 Å, with angles of 90.00, 90.00 and 90.00 degrees. The asymmetric unit holds Nd at (0.000, 0.000, 0.000), Pu at (0.000, 0.000, 0.500) and N at (0.250, 0.250, 0.250).

The excess energy over the best structure of this formula in the dataset is 572 meV per atom. For the total energy, the calculation gives -111.694 eV per cell. As for the total moment: 5.9 μB/f.u. The calculation puts the density at 11.450 g/cm³. The uncorrected formation energy is -48 kJ/mol of formula units.

=====

[4]
DFT (PBE-GGA) results for crystalline YHo2ThSc at its relaxed geometry.

The space group is P2_1/m (No. 11) and the conventional cell measures 7.780, 4.978 and 7.826 Å, with angles of 90.00, 90.46 and 90.00 degrees. The asymmetric unit holds Y at (0.249, 0.250, 0.246), Ho at (0.158, 0.750, 0.947), Ho at (0.346, 0.750, 0.551), Th at (0.055, 0.250, 0.649) and Sc at (0.450, 0.250, 0.852).

For the formation enthalpy at 0 K, the calculation gives 0.2 eV/f.u. For the total energy, the calculation gives -58.258 eV per cell. As for the total moment: 0.0 μB/f.u. The calculation puts the density at 7.625 g/cm³.

=====

[5]
DFT (PBE-GGA) results for crystalline Nd4AuO7 at its relaxed geometry.

The space group is C2/m (No. 12) and the conventional cell measures 12.998, 4.229 and 9.287 Å, with angles of 90.00, 133.13 and 90.00 degrees. The asymmetric unit holds Nd at (0.088, 0.000, 0.399), Nd at (0.250, 0.000, 0.163), Au at (0.000, 0.500, 0.000), O at (0.000, 0.000, 0.000), O at (0.094, 0.500, 0.886), O at (0.137, 0.000, 0.695) and O at (0.198, 0.500, 0.547).

For the total energy, the calculation gives -180.401 eV per cell. As for the total moment: 0.0 μB/f.u. The calculation puts the density at 7.896 g/cm³. The uncorrected formation energy is -3198 kJ/mol of formula units.

=====

[6]
DFT (PBE-GGA) results for crystalline AlRe2PCl at its relaxed geometry.

The space group is P4/mmm (No. 123) and the conventional cell measures 4.472, 4.472 and 4.621 Å, with angles of 90.00, 90.00 and 90.00 degrees. The asymmetric unit holds Al at (0.000, 0.000, 0.000), Re at (0.000, 0.500, 0.500), P at (0.000, 0.000, 0.500) and Cl at (0.500, 0.500, 0.000).

For the total energy, the calculation gives -29.672 eV per cell. As for the total moment: 0.0 μB/f.u. The calculation puts the density at 8.372 g/cm³. The uncorrected formation energy is 600 kJ/mol of formula units.

=====

[7]
DFT (PBE-GGA) results for crystalline ZrSi2As at its relaxed geometry.

The space group is R3m (No. 160, hexagonal axes) and the conventional cell measures 3.0337, 3.0337 and 30.7100 Å, with angles of 90.00, 90.00 and 120.00 degrees. The asymmetric unit holds Zr at (0.0000, 0.0000, 0.0000), Si at (0.0000, 0.0000, 0.2589), Si at (0.0000, 0.0000, 0.5320) and As at (0.0000, 0.0000, 0.7415).

The excess energy over the best structure of this formula in the dataset is 482 meV per atom. For the total energy, the calculation gives -70.560 eV per cell. As for the total moment: 0.0 μB/f.u. The calculation puts the density at 4.525 g/cm³. The uncorrected formation energy is 51 kJ/mol of formula units.

=====

[8]
DFT (PBE-GGA) results for crystalline Li3MgHg at its relaxed geometry.

The space group is Pm-3m (No. 221) and the conventional cell measures 4.980, 4.980 and 4.980 Å, with angles of 90.00, 90.00 and 90.00 degrees. The asymmetric unit holds Li at (0.000, 0.000, 0.500), Mg at (0.500, 0.500, 0.500) and Hg at (0.000, 0.000, 0.000).

For the formation enthalpy at 0 K, the calculation gives 0.4 eV/f.u. The excess energy over the best structure of this formula in the dataset is 284 meV per atom. For the total energy, the calculation gives -7.204 eV per cell. As for the total moment: 0.0 μB/f.u. The calculation puts the density at 3.303 g/cm³.

=====

[9]
DFT (PBE-GGA) results for crystalline CaSb2Mo2 at its relaxed geometry.

The space group is I4/mmm (No. 139) and the conventional cell measures 3.881, 3.881 and 15.717 Å, with angles of 90.00, 90.00 and 90.00 degrees. The asymmetric unit holds Ca at (0.000, 0.000, 0.000), Sb at (0.000, 0.000, 0.379) and Mo at (0.000, 0.500, 0.250).

For the total energy, the calculation gives -64.974 eV per cell. As for the total moment: 0.0 μB/f.u. The calculation puts the density at 6.670 g/cm³. The uncorrected formation energy is -56 kJ/mol of formula units.

=====

[10]
DFT (PBE-GGA) results for crystalline BSbSe3 at its relaxed geometry.

The space group is P-1 (No. 2) and the conventional cell measures 3.550, 9.193 and 10.138 Å, with angles of 112.63, 100.04 and 90.05 degrees. The asymmetric unit holds B at (0.217, 0.370, 0.434), Sb at (0.413, 0.995, 0.825), Se at (0.055, 0.778, 0.111), Se at (0.207, 0.146, 0.414) and Se at (0.323, 0.549, 0.646).

The excess energy over the best structure of this formula in the dataset is 0 meV per atom. For the total energy, the calculation gives -43.083 eV per cell. As for the total moment: 0.0 μB/f.u. The calculation puts the density at 4.092 g/cm³. The uncorrected formation energy is -28 kJ/mol of formula units.

=====

[11]
DFT (PBE-GGA) results for crystalline LiCrOs2 at its relaxed geometry.

The space group is Immm (No. 71) and the conventional cell measures 2.874, 4.443 and 8.384 Å, with angles of 90.00, 90.00 and 90.00 degrees. The asymmetric unit holds Li at (0.000, 0.000, 0.000), Cr at (0.000, 0.000, 0.500) and Os at (0.000, 0.500, 0.239).

For the formation enthalpy at 0 K, the calculation gives 0.9 eV/f.u. The excess energy over the best structure of this formula in the dataset is 120 meV per atom. For the total energy, the calculation gives -66.172 eV per cell. As for the total moment: 1.0 μB/f.u. The calculation puts the density at 13.632 g/cm³.

=====

[12]
DFT (PBE-GGA) results for crystalline DyTaOsRh at its relaxed geometry.

The space group is F-43m (No. 216) and the conventional cell measures 6.576, 6.576 and 6.576 Å, with angles of 90.00, 90.00 and 90.00 degrees. The asymmetric unit holds Dy at (0.000, 0.000, 0.000), Ta at (0.000, 0.000, 0.500), Os at (0.250, 0.250, 0.750) and Rh at (0.250, 0.250, 0.250).

For the formation enthalpy at 0 K, the calculation gives -1.4 eV/f.u. For the total energy, the calculation gives -145.778 eV per cell. As for the total moment: 0.0 μB/f.u. The calculation puts the density at 14.867 g/cm³.

=====

> What is the density in the sixth record?

8.372 g/cm³

=====

> Number 1 is which compound?

Sm2PuWN5